Record 1
Material: PrSmSi2Ni2
Method: DFT, PBE
State: relaxed

Computed properties:
Its uncorrected formation energy is -0.723 eV per atom.

Cell: 4.0094 4.0094 8.4488 Å, 90.00 90.00 120.00°
Space group P-3m1 (No. 164)
Symmetry-distinct sites (fractional):
Pr: 0.0000 0.0000 0.0000 x1
Sm: 0.0000 0.0000 0.5000 x1
Si: 0.3333 0.6667 0.7454 x2
Ni: 0.3333 0.6667 0.2564 x2

***

Record 2
Material: CaYTa
Method: DFT, PBE
State: relaxed

Computed properties:
The calculation puts the energy relative to the lowest polymorph listed for this composition at 0 meV/atom. The energy of formation comes out at 1.392 eV per formula unit.

Cell: 4.523 4.538 16.104 Å, 90.00 90.00 90.00°
Space group Fmm2 (No. 42)
Symmetry-distinct sites (fractional):
Ca: 0.000 0.000 0.000 x4
Y: 0.000 0.000 0.706 x4
Ta: 0.000 0.000 0.341 x4

***

Record 3
Material: K2LiCd10
Method: DFT, PBE
State: relaxed

Computed properties:
The energy of formation comes out at -0.338 eV per formula unit.

Cell: 10.146 11.297 6.792 Å, 90.00 90.00 90.00°
Space group Pbam (No. 55)
Symmetry-distinct sites (fractional):
K: 0.219 0.060 0.000 x4
Li: 0.000 0.500 0.500 x2
Cd: 0.034 0.129 0.500 x4
Cd: 0.057 0.333 0.210 x8
Cd: 0.182 0.693 0.500 x4
Cd: 0.243 0.944 0.500 x4

***

Record 4
Material: RbTlTe2I
Method: DFT, PBE
State: relaxed

Computed properties:
Its uncorrected formation energy is 0.242 eV per atom. The calculation puts the energy relative to the lowest polymorph listed for this composition at 519 meV/atom.

Cell: 6.701 6.701 6.753 Å, 90.00 90.00 90.00°
Space group P4/mmm (No. 123)
Symmetry-distinct sites (fractional):
Rb: 0.000 0.000 0.000 x1
Tl: 0.500 0.500 0.500 x1
Te: 0.000 0.500 0.000 x2
I: 0.000 0.000 0.500 x1

***

Record 5
Material: Tm2VPd
Method: DFT, PBE
State: relaxed

Computed properties:
The calculation puts the energy relative to the lowest polymorph listed for this composition at 0 meV/atom. The energy of formation comes out at -1.199 eV per formula unit.

Cell: 3.530 3.530 6.807 Å, 90.00 90.00 90.00°
Space group P4/mmm (No. 123)
Symmetry-distinct sites (fractional):
Tm: 0.000 0.000 0.247 x2
V: 0.500 0.500 0.500 x1
Pd: 0.500 0.500 0.000 x1

***

Record 6
Material: K12Na6Hg
Method: DFT, PBE
State: relaxed

Computed properties:
The energy of formation comes out at 0.017 eV per formula unit.

Cell: 21.2594 21.2594 8.3982 Å, 90.00 90.00 120.00°
Space group R-3 (No. 148, hexagonal axes)
Symmetry-distinct sites (fractional):
K: 0.0449 0.2769 0.4387 x18
K: 0.1036 0.2219 0.9183 x18
Na: 0.0463 0.9362 0.3193 x18
Hg: 0.0000 0.0000 0.0000 x3

***

Record 7
Material: DyPaOs2
Method: DFT, PBE
State: relaxed

Computed properties:
The calculation puts the energy relative to the lowest polymorph listed for this composition at 0 meV/atom. The energy of formation comes out at -1.106 eV per formula unit.

Cell: 3.483 3.483 6.764 Å, 90.00 90.00 90.00°
Space group P4/mmm (No. 123)
Symmetry-distinct sites (fractional):
Dy: 0.000 0.000 0.000 x1
Pa: 0.000 0.000 0.500 x1
Os: 0.500 0.500 0.273 x2

***

Record 8
Material: Rb2Np2I7
Method: DFT, PBE
State: relaxed

Computed properties:
Its uncorrected formation energy is -0.969 eV per atom.

Cell: 13.540 9.776 8.414 Å, 90.00 99.71 90.00°
Space group C2/m (No. 12)
Symmetry-distinct sites (fractional):
Rb: 0.000 0.236 0.000 x4
Np: 0.244 0.000 0.534 x4
I: 0.000 0.000 0.500 x2
I: 0.041 0.500 0.284 x4
I: 0.233 0.280 0.740 x8

***

Calculated energy in order - -6.04 -6.31 -1.05 -1.99 -6.11 -1.12 -9.42 -4.48 eV per atom